This record from Alexandria describes MgHgRh2 after structural relaxation. The functional is PBE-GGA.

Cell lengths 3.2154, 3.2154, 6.3192 Å; angles 90.00, 90.00, 90.00 degrees
With the nearest neighbours (Å) after each atom.
Fractional positions:
Hg 0.5000 0.5000 0.5000  8 Rh 2.83, 2 Mg 3.16
Mg 0.5000 0.5000 0.0000  8 Rh 2.71
Rh 0.0000 0.0000 0.7662  4 Mg 2.71, 4 Hg 2.83, 1 Rh 2.95
Rh 0.0000 0.0000 0.2338  4 Mg 2.71, 4 Hg 2.83, 1 Rh 2.95

Properties
Mass density (kg/m³): 10947
Fermi-level density of states (states/eV per atom): 1.04
DFT total energy (eV per atom): -4.292
Symmetry: P4/mmm
Magnetization (μB/atom): 0.0000